NiSeCl3: relaxed, PBE. Values from VASP.

```
&SYSTEM
  ibrav = 0, nat = 5, ntyp = 3
/
ATOMIC_SPECIES
Ni 58.69 Ni.upf
Se 78.96 Se.upf
Cl 35.45 Cl.upf
CELL_PARAMETERS angstrom
4.6136 0.0000 0.0000
0.0000 4.6136 0.0000
0.0000 0.0000 4.6136
ATOMIC_POSITIONS crystal
Ni 0.0000 0.0000 0.0000
Se 0.5000 0.5000 0.5000
Cl 0.0000 0.0000 0.5000
Cl 0.0000 0.5000 0.0000
Cl 0.5000 0.0000 0.0000
```

Calculated values
The total magnetic moment comes out at 0.0 μB per cell. For the uncorrected formation energy, the calculation gives 0.71 eV per formula unit. The space-group type is Pm-3m, No. 221.